Entry 1
{
  "formula": "BaYCd",
  "functional": "GGA-PBE",
  "state": "relaxed",
  "space_group": "I4mm (107)",
  "dos_at_fermi_per_ev_cell": 5.65,
  "lattice": [[3.963, 0.000, 0.000], [0.000, 3.963, 0.000], [0.000, 0.000, 13.946]],
  "species": ["Ba", "Ba", "Y", "Y", "Cd", "Cd"],
  "fractional_positions": [[0.000, 0.000, 0.000], [0.500, 0.500, 0.500], [0.000, 0.000, 0.719], [0.500, 0.500, 0.219], [0.000, 0.000, 0.324], [0.500, 0.500, 0.824]]
}



Entry 2
{
  "formula": "BaYCd",
  "functional": "GGA-PBE",
  "state": "relaxed",
  "space_group": "F-43m (216)",
  "dos_at_fermi_per_ev_cell": 15.61,
  "lattice": [[7.768, 0.000, 0.000], [0.000, 7.768, 0.000], [0.000, 0.000, 7.768]],
  "species": ["Ba", "Ba", "Ba", "Ba", "Y", "Y", "Y", "Y", "Cd", "Cd", "Cd", "Cd"],
  "fractional_positions": [[0.000, 0.000, 0.000], [0.000, 0.500, 0.500], [0.500, 0.000, 0.500], [0.500, 0.500, 0.000], [0.250, 0.250, 0.750], [0.250, 0.750, 0.250], [0.750, 0.250, 0.250], [0.750, 0.750, 0.750], [0.250, 0.250, 0.250], [0.250, 0.750, 0.750], [0.750, 0.250, 0.750], [0.750, 0.750, 0.250]]
}



Entry 3
{
  "formula": "BaYCd",
  "functional": "GGA-PBE",
  "state": "relaxed",
  "space_group": "P3m1 (156)",
  "dos_at_fermi_per_ev_cell": 2.65,
  "lattice": [[3.878, 0.000, 0.000], [-1.939, 3.359, 0.000], [0.000, 0.000, 8.483]],
  "species": ["Ba", "Y", "Cd"],
  "fractional_positions": [[0.000, 0.000, 0.000], [0.667, 0.333, 0.602], [0.333, 0.667, 0.333]]
}



Short version: entry 1 is the most stable of them.



Entry 1
{
  "formula": "BaYCd",
  "functional": "GGA-PBE",
  "state": "relaxed",
  "space_group": "P-6m2 (187)",
  "dos_at_fermi_per_ev_cell": 3.52,
  "lattice": [[5.514, 0.000, 0.000], [-2.757, 4.775, 0.000], [0.000, 0.000, 4.226]],
  "species": ["Ba", "Y", "Cd"],
  "fractional_positions": [[0.000, 0.000, 0.000], [0.333, 0.667, 0.500], [0.667, 0.333, 0.500]]
}



Entry 2
{
  "formula": "BaYCd",
  "functional": "GGA-PBE",
  "state": "relaxed",
  "space_group": "F-43m (216)",
  "dos_at_fermi_per_ev_cell": 18.97,
  "lattice": [[7.869, 0.000, 0.000], [0.000, 7.869, 0.000], [0.000, 0.000, 7.869]],
  "species": ["Ba", "Ba", "Ba", "Ba", "Y", "Y", "Y", "Y", "Cd", "Cd", "Cd", "Cd"],
  "fractional_positions": [[0.000, 0.000, 0.000], [0.000, 0.500, 0.500], [0.500, 0.000, 0.500], [0.500, 0.500, 0.000], [0.000, 0.000, 0.500], [0.000, 0.500, 0.000], [0.500, 0.000, 0.000], [0.500, 0.500, 0.500], [0.250, 0.250, 0.250], [0.250, 0.750, 0.750], [0.750, 0.250, 0.750], [0.750, 0.750, 0.250]]
}



Short version: entry 1 is the most stable of them.



Entry 1
{
  "formula": "Ba2YCd2",
  "functional": "GGA-PBE",
  "state": "relaxed",
  "space_group": "I4/mmm (139)",
  "dos_at_fermi_per_ev_cell": 18.03,
  "lattice": [[4.964, 0.000, 0.000], [0.000, 4.964, 0.000], [0.000, 0.000, 15.335]],
  "species": ["Ba", "Ba", "Ba", "Ba", "Y", "Y", "Cd", "Cd", "Cd", "Cd"],
  "fractional_positions": [[0.000, 0.500, 0.250], [0.000, 0.500, 0.750], [0.500, 0.000, 0.250], [0.500, 0.000, 0.750], [0.000, 0.000, 0.000], [0.500, 0.500, 0.500], [0.000, 0.000, 0.411], [0.000, 0.000, 0.589], [0.500, 0.500, 0.089], [0.500, 0.500, 0.911]]
}



Entry 2
{
  "formula": "Ba2YCd2",
  "functional": "GGA-PBE",
  "state": "relaxed",
  "space_group": "P4/mbm (127)",
  "dos_at_fermi_per_ev_cell": 7.04,
  "lattice": [[9.783, 0.000, 0.000], [0.000, 9.783, 0.000], [0.000, 0.000, 3.858]],
  "species": ["Ba", "Ba", "Ba", "Ba", "Y", "Y", "Cd", "Cd", "Cd", "Cd"],
  "fractional_positions": [[0.140, 0.360, 0.000], [0.360, 0.860, 0.000], [0.640, 0.140, 0.000], [0.860, 0.640, 0.000], [0.000, 0.000, 0.000], [0.500, 0.500, 0.000], [0.159, 0.659, 0.500], [0.341, 0.159, 0.500], [0.659, 0.841, 0.500], [0.841, 0.341, 0.500]]
}



Entry 3
{
  "formula": "Ba2YCd2",
  "functional": "GGA-PBE",
  "state": "relaxed",
  "space_group": "P4/mbm (127)",
  "dos_at_fermi_per_ev_cell": 15.47,
  "lattice": [[8.208, 0.000, 0.000], [0.000, 8.208, 0.000], [0.000, 0.000, 5.710]],
  "species": ["Ba", "Ba", "Ba", "Ba", "Y", "Y", "Cd", "Cd", "Cd", "Cd"],
  "fractional_positions": [[0.178, 0.322, 0.000], [0.322, 0.822, 0.000], [0.678, 0.178, 0.000], [0.822, 0.678, 0.000], [0.000, 0.000, 0.500], [0.500, 0.500, 0.500], [0.127, 0.627, 0.500], [0.373, 0.127, 0.500], [0.627, 0.873, 0.500], [0.873, 0.373, 0.500]]
}



Short version: entry 3 is the most stable of them.



Entry 1
{
  "formula": "Ba3ZnCd",
  "functional": "GGA-PBE",
  "state": "relaxed",
  "space_group": "C2/c (15)",
  "dos_at_fermi_per_ev_cell": 22.08,
  "lattice": [[8.227, -6.450, 0.000], [8.227, 6.450, 0.000], [-0.021, 0.000, 8.675]],
  "species": ["Ba", "Ba", "Ba", "Ba", "Ba", "Ba", "Ba", "Ba", "Ba", "Ba", "Ba", "Ba", "Zn", "Zn", "Zn", "Zn", "Cd", "Cd", "Cd", "Cd"],
  "fractional_positions": [[0.040, 0.709, 0.995], [0.042, 0.710, 0.505], [0.290, 0.958, 0.995], [0.291, 0.960, 0.505], [0.369, 0.370, 0.499], [0.370, 0.369, 0.999], [0.630, 0.631, 0.001], [0.631, 0.630, 0.501], [0.709, 0.040, 0.495], [0.710, 0.042, 0.005], [0.958, 0.290, 0.495], [0.960, 0.291, 0.005], [0.114, 0.445, 0.749], [0.445, 0.114, 0.249], [0.555, 0.886, 0.751], [0.886, 0.555, 0.251], [0.008, 0.992, 0.250], [0.328, 0.672, 0.250], [0.672, 0.328, 0.750], [0.992, 0.008, 0.750]]
}



Entry 2
{
  "formula": "Ba3ZnCd",
  "functional": "GGA-PBE",
  "state": "relaxed",
  "space_group": "Pm-3m (221)",
  "dos_at_fermi_per_ev_cell": 13.84,
  "lattice": [[6.401, 0.000, 0.000], [0.000, 6.401, 0.000], [0.000, 0.000, 6.401]],
  "species": ["Ba", "Ba", "Ba", "Zn", "Cd"],
  "fractional_positions": [[0.000, 0.000, 0.500], [0.000, 0.500, 0.000], [0.500, 0.000, 0.000], [0.000, 0.000, 0.000], [0.500, 0.500, 0.500]]
}



Short version: entry 1 is the most stable of them.



Entry 1
{
  "formula": "Ba2ZnCd",
  "functional": "GGA-PBE",
  "state": "relaxed",
  "space_group": "Pmm2 (25)",
  "dos_at_fermi_per_ev_cell": 3.68,
  "lattice": [[4.199, 0.000, 0.000], [0.000, 5.928, 0.000], [0.000, 0.000, 5.927]],
  "species": ["Ba", "Ba", "Zn", "Cd"],
  "fractional_positions": [[0.000, 0.000, 0.000], [0.000, 0.500, 0.499], [0.500, 0.500, 0.999], [0.500, 0.000, 0.500]]
}



Entry 2
{
  "formula": "Ba2ZnCd",
  "functional": "GGA-PBE",
  "state": "relaxed",
  "space_group": "P4mm (99)",
  "dos_at_fermi_per_ev_cell": 2.69,
  "lattice": [[4.199, 0.000, 0.000], [0.000, 4.199, 0.000], [0.000, 0.000, 8.952]],
  "species": ["Ba", "Ba", "Zn", "Cd"],
  "fractional_positions": [[0.000, 0.000, 0.000], [0.500, 0.500, 0.410], [0.500, 0.500, 0.792], [0.000, 0.000, 0.625]]
}



Short version: entry 1 is the most stable of them.



Entry 1
{
  "formula": "Ba2ZnCd",
  "functional": "GGA-PBE",
  "state": "relaxed",
  "space_group": "I-42d (122)",
  "dos_at_fermi_per_ev_cell": 29.76,
  "lattice": [[9.177, 0.000, 0.000], [0.000, 9.177, 0.000], [0.000, 0.000, 8.064]],
  "species": ["Ba", "Ba", "Ba", "Ba", "Ba", "Ba", "Ba", "Ba", "Zn", "Zn", "Zn", "Zn", "Cd", "Cd", "Cd", "Cd"],
  "fractional_positions": [[0.230, 0.250, 0.125], [0.250, 0.730, 0.375], [0.250, 0.770, 0.875], [0.270, 0.250, 0.625], [0.730, 0.750, 0.625], [0.750, 0.230, 0.875], [0.750, 0.270, 0.375], [0.770, 0.750, 0.125], [0.000, 0.000, 0.000], [0.000, 0.500, 0.250], [0.500, 0.000, 0.750], [0.500, 0.500, 0.500], [0.000, 0.000, 0.500], [0.000, 0.500, 0.750], [0.500, 0.000, 0.250], [0.500, 0.500, 0.000]]
}



Entry 2
{
  "formula": "Ba2ZnCd",
  "functional": "GGA-PBE",
  "state": "relaxed",
  "space_group": "Cm (8)",
  "dos_at_fermi_per_ev_cell": 7.88,
  "lattice": [[13.089, 0.000, 0.000], [0.000, 4.109, 0.000], [-2.618, 0.000, 5.247]],
  "species": ["Ba", "Ba", "Ba", "Ba", "Zn", "Zn", "Cd", "Cd"],
  "fractional_positions": [[0.000, 0.000, 0.000], [0.191, 0.000, 0.692], [0.500, 0.500, 0.000], [0.691, 0.500, 0.692], [0.252, 0.500, 0.252], [0.752, 0.000, 0.252], [0.416, 0.000, 0.416], [0.916, 0.500, 0.416]]
}



Short version: entry 2 is the most stable of them.